Here is crystalline ReTcPd at its relaxed geometry from the Alexandria database. Energies are from PBE.

abc: 6.1792 6.1792 6.1792
angles: 154.11 154.11 36.94
With the nearest neighbours (Å) after each atom.
Fractional coordinates of all 3 atoms:
Re 0.0000 0.0000 0.0000  4 Tc 2.64, 4 Re 2.77, 4 Pd 2.82
Tc 0.6517 0.6517 0.0000  4 Re 2.64, 4 Tc 2.77, 4 Pd 2.84
Pd 0.3270 0.3270 0.0000  4 Pd 2.77, 4 Re 2.82, 4 Tc 2.84

* energy relative to the lowest polymorph listed for this composition: 0.115 eV/atom
* E_form: 0.086 eV/atom
* N(E_F): 2.58 states/eV/cell

***

Here is crystalline BaCa2Cu2 at its relaxed geometry from the Alexandria database. Energies are from PBE.

abc: 8.1466 8.1466 4.4419
angles: 90.00 90.00 90.00
With the nearest neighbours (Å) after each atom.
Fractional coordinates of all 10 atoms:
Ba 0.0000 0.0000 0.0000  4 Cu 3.32
Ba 0.5000 0.5000 0.0000  4 Cu 3.32
Ca 0.1590 0.3410 0.5000  6 Cu 3.13-3.49
Ca 0.3410 0.8410 0.5000  6 Cu 3.13-3.49
Ca 0.6590 0.1590 0.5000  6 Cu 3.13-3.49
Ca 0.8410 0.6590 0.5000  6 Cu 3.13-3.49
Cu 0.1075 0.6075 0.0000  1 Cu 2.48
Cu 0.3925 0.1075 0.0000  1 Cu 2.48
Cu 0.6075 0.8925 0.0000  1 Cu 2.48
Cu 0.8925 0.3925 0.0000  1 Cu 2.48

* energy relative to the lowest polymorph listed for this composition: 0.000 eV/atom
* E_form: -0.014 eV/atom
* N(E_F): 3.06 states/eV/cell

***

Here is crystalline Ba2AsF at its relaxed geometry from the Alexandria database. Energies are from PBE.

abc: 6.6107 6.5803 14.3069
angles: 90.00 117.28 90.00
With the nearest neighbours (Å) after each atom.
Fractional coordinates of all 16 atoms:
Ba 0.1218 0.2137 0.1239  1 F 2.67
Ba 0.1218 0.7863 0.6239  1 F 2.67
Ba 0.3343 0.2499 0.8748  1 F 2.66
Ba 0.3343 0.7501 0.3748  1 F 2.66
Ba 0.6657 0.2499 0.6252  1 F 2.66
Ba 0.6657 0.7501 0.1252  1 F 2.66
Ba 0.8782 0.2137 0.3761  1 F 2.67
Ba 0.8782 0.7863 0.8761  1 F 2.67
As 0.3794 0.2535 0.3748  6 Ba 3.19-3.33
As 0.3794 0.7465 0.8748  6 Ba 3.19-3.33
As 0.6206 0.2535 0.1252  6 Ba 3.19-3.33
As 0.6206 0.7465 0.6252  6 Ba 3.19-3.33
F 0.0617 0.1875 0.6237  2 Ba 2.66-2.67
F 0.0617 0.8125 0.1237  2 Ba 2.66-2.67
F 0.9383 0.1875 0.8763  2 Ba 2.66-2.67
F 0.9383 0.8125 0.3763  2 Ba 2.66-2.67

* energy relative to the lowest polymorph listed for this composition: 0.017 eV/atom

***

Here is crystalline CrOsPd2 at its relaxed geometry from the Alexandria database. Energies are from PBE.

abc: 4.3446 4.3446 4.3446
angles: 60.00 60.00 60.00
With the nearest neighbours (Å) after each atom.
Fractional coordinates of all 4 atoms:
Cr 0.0000 0.0000 0.0000  8 Pd 2.66
Os 0.5000 0.5000 0.5000  8 Pd 2.66
Pd 0.2500 0.2500 0.2500  4 Cr 2.66, 4 Os 2.66
Pd 0.7500 0.7500 0.7500  4 Cr 2.66, 4 Os 2.66

* energy relative to the lowest polymorph listed for this composition: 0.029 eV/atom
* E_form: 0.633 eV/atom
* N(E_F): 9.08 states/eV/cell

***

Here is crystalline BaCd2AgCl at its relaxed geometry from the Alexandria database. Energies are from PBE.

abc: 6.9989 6.9989 6.0929
angles: 90.00 90.00 90.00
With the nearest neighbours (Å) after each atom.
Fractional coordinates of all 5 atoms:
Ba 0.0000 0.0000 0.0000  2 Ag 3.05
Cd 0.0000 0.5000 0.0000  2 Ba 3.50
Cd 0.5000 0.0000 0.0000  2 Ba 3.50
Ag 0.0000 0.0000 0.5000  2 Ba 3.05
Cl 0.5000 0.5000 0.5000  8 Cd 4.64, 4 Ag 4.95

* uncorrected energy: -1.392 eV/atom
* N(E_F): 0.28 states/eV/cell

***

Here is crystalline Ce5AgHg4 at its relaxed geometry from the Alexandria database. Energies are from PBE.

abc: 3.8721 3.8721 18.3366
angles: 90.00 90.00 90.00
With the nearest neighbours (Å) after each atom.
Fractional coordinates of all 10 atoms:
Ce 0.0000 0.0000 0.0000  8 Hg 3.31
Ce 0.0000 0.0000 0.2031  8 Hg 3.31
Ce 0.0000 0.0000 0.4054  4 Ag 3.24, 4 Hg 3.30, 1 Ce 3.47
Ce 0.0000 0.0000 0.5946  4 Ag 3.24, 4 Hg 3.30, 1 Ce 3.47
Ce 0.0000 0.0000 0.7969  8 Hg 3.31
Ag 0.5000 0.5000 0.5000  8 Ce 3.24, 2 Hg 3.58
Hg 0.5000 0.5000 0.1016  8 Ce 3.31
Hg 0.5000 0.5000 0.3046  8 Ce 3.30-3.31, 1 Ag 3.58
Hg 0.5000 0.5000 0.6954  8 Ce 3.30-3.31, 1 Ag 3.58
Hg 0.5000 0.5000 0.8984  8 Ce 3.31

* E_form: -0.236 eV/atom
* N(E_F): 40.60 states/eV/cell

***

Here is crystalline NdCd2GaSn at its relaxed geometry from the Alexandria database. Energies are from PBE.

abc: 8.1770 8.1770 6.3345
angles: 90.00 90.00 144.98
With the nearest neighbours (Å) after each atom.
Fractional coordinates of all 10 atoms:
Nd 0.0891 0.9109 0.7500  3 Ga 3.22-3.35, 4 Sn 3.24, 4 Cd 3.41
Nd 0.9109 0.0891 0.2500  3 Ga 3.22-3.35, 4 Sn 3.24, 4 Cd 3.41
Cd 0.2987 0.7013 0.5013  4 Cd 2.89-3.18, 3 Ga 3.13-3.15, 1 Sn 3.14
Cd 0.2987 0.7013 0.9987  4 Cd 2.89-3.18, 3 Ga 3.13-3.15, 1 Sn 3.14
Cd 0.7013 0.2987 0.0013  4 Cd 2.89-3.18, 3 Ga 3.13-3.15, 1 Sn 3.14
Cd 0.7013 0.2987 0.4987  4 Cd 2.89-3.18, 3 Ga 3.13-3.15, 1 Sn 3.14
Ga 0.1257 0.8743 0.2500  6 Cd 3.13-3.15, 3 Nd 3.22-3.35
Ga 0.8743 0.1257 0.7500  6 Cd 3.13-3.15, 3 Nd 3.22-3.35
Sn 0.5000 0.5000 0.0000  2 Cd 3.14, 2 Sn 3.17, 4 Nd 3.24
Sn 0.5000 0.5000 0.5000  2 Cd 3.14, 2 Sn 3.17, 4 Nd 3.24

* E_form: -0.345 eV/atom
* N(E_F): 4.79 states/eV/cell

***

Here is crystalline Pm5BiAs4 at its relaxed geometry from the Alexandria database. Energies are from PBE.

abc: 7.4677 7.4677 10.5965
angles: 118.30 118.30 33.36
With the nearest neighbours (Å) after each atom.
Fractional coordinates of all 10 atoms:
Pm 0.0000 0.0000 0.0000  6 As 3.03-3.04
Pm 0.2054 0.2054 0.8124  5 As 2.96-3.03, 1 Bi 3.16
Pm 0.3921 0.3921 0.6090  4 As 2.96-3.08, 2 Bi 3.17
Pm 0.6079 0.6079 0.3910  4 As 2.96-3.08, 2 Bi 3.17
Pm 0.7946 0.7946 0.1876  5 As 2.96-3.03, 1 Bi 3.16
Bi 0.0000 0.0000 0.5000  6 Pm 3.16-3.17
As 0.2023 0.2023 0.2958  6 Pm 2.96-3.08
As 0.4022 0.4022 0.1010  6 Pm 2.96-3.03
As 0.5978 0.5978 0.8990  6 Pm 2.96-3.03
As 0.7977 0.7977 0.7042  6 Pm 2.96-3.08

* E_form: -1.388 eV/atom
* N(E_F): 2.10 states/eV/cell